(1)
Ac2PH2Br | PBE | relaxed

Values from the calculation:
- total DFT energy (no corrections) (eV/atom) = -4.8932

Cell lengths 4.2918, 4.2918, 8.4333 Å; angles 90.00, 90.00, 120.00 degrees
Space group P-3m1 (No. 164)
Asymmetric unit:
Ac: 0.3333 0.6667 0.2819
P: 0.0000 0.0000 0.5000
H: 0.3333 0.6667 0.7539
Br: 0.0000 0.0000 0.0000

***

(2)
CaCd4In | PBE | relaxed

Values from the calculation:
- calculated formation energy (kJ/mol of formula units) = -94
- distance to the lowest polymorph of the same formula (eV per atom) = 0.039
- total DFT energy (no corrections) (eV/atom) = -1.5616

Cell lengths 8.483, 8.483, 8.483 Å; angles 90.00, 90.00, 90.00 degrees
Space group F-43m (No. 216)
Asymmetric unit:
Ca: 0.000 0.000 0.000
Cd: 0.125 0.125 0.625
In: 0.250 0.250 0.250

***

(3)
GdGaI | PBE | relaxed

Values from the calculation:
- formation energy from raw total energies (eV/atom) = -1.05
- total DFT energy (no corrections) (eV/atom) = -7.2737

Cell lengths 4.2361, 4.2361, 12.0915 Å; angles 90.00, 90.00, 120.00 degrees
Space group P-3m1 (No. 164)
Asymmetric unit:
Gd: 0.0000 0.0000 0.1689
Ga: 0.3333 0.6667 0.9733
I: 0.3333 0.6667 0.3356

***

(4)
Ti8As3 | PBE | relaxed

Values from the calculation:
- calculated formation energy (kJ/mol of formula units) = -275
- total DFT energy (no corrections) (eV/atom) = -7.2685

Cell lengths 8.2626, 8.2626, 10.0755 Å; angles 90.00, 90.00, 120.00 degrees
Space group R-3 (No. 148, hexagonal axes)
Asymmetric unit:
Ti: 0.0000 0.0000 0.1337
Ti: 0.0130 0.2292 0.6073
As: 0.0000 0.5000 0.5000

***

(5)
Ta2BeRe | PBE | relaxed

Values from the calculation:
- calculated formation energy (kJ/mol of formula units) = 60
- distance to the lowest polymorph of the same formula (eV per atom) = 0.288
- total DFT energy (no corrections) (eV/atom) = -9.8136

Cell lengths 6.262, 6.262, 6.262 Å; angles 90.00, 90.00, 90.00 degrees
Space group F-43m (No. 216)
Asymmetric unit:
Ta: 0.000 0.000 0.000
Ta: 0.250 0.250 0.250
Be: 0.000 0.000 0.500
Re: 0.250 0.250 0.750

***

(6)
Zr4ScRh5 | PBE | relaxed

Values from the calculation:
- calculated formation energy (kJ/mol of formula units) = -787
- total DFT energy (no corrections) (eV/atom) = -8.5440

Cell lengths 3.296, 3.296, 16.363 Å; angles 90.00, 90.00, 90.00 degrees
Space group P4/mmm (No. 123)
Asymmetric unit:
Zr: 0.000 0.000 0.101
Zr: 0.000 0.000 0.303
Sc: 0.000 0.000 0.500
Rh: 0.500 0.500 0.000
Rh: 0.500 0.500 0.203
Rh: 0.500 0.500 0.401

***

no.,Fermi-level density of states (states/eV per atom)
1,0.0000
2,0.3701
3,0.4748
4,1.1780
5,1.0141
6,0.6700